Y6Zn3Ag: optimized geometry, PBE.

extended XYZ file:
```
20
Lattice="9.345 0.000 0.000 0.000 4.967 0.000 -3.609 0.000 10.939" Properties=species:S:1:pos:R:3 pbc="T T T"
Y -1.323 1.242 4.257
Y 0.647 3.726 2.106
Y 2.067 1.242 0.118
Y 1.114 1.242 6.793
Y 0.371 3.726 9.248
Y 2.318 1.242 3.807
Y 3.418 3.726 7.132
Y 5.365 1.242 1.690
Y 4.622 3.726 4.145
Y 3.669 3.726 10.820
Y 5.088 1.242 8.833
Y 7.059 3.726 6.682
Zn -2.789 3.726 9.698
Zn -1.380 1.242 8.138
Zn 0.791 3.726 5.165
Zn 4.945 1.242 5.773
Zn 7.116 3.726 2.801
Zn 8.525 1.242 1.241
Ag 3.520 3.726 1.410
Ag 2.216 1.242 9.529
```

Computed properties:
- density (g cm⁻³) = 5.478
- DOS at the Fermi energy (states/eV/cell) = 18.6
- formation energy from the elements (meV/atom) = -228
- calculated total energy (eV/atom) = -4.774